No. 1
An optimized crystal structure of RbNpO4, computed with GGA-PBE.

abc: 6.4066 5.9667 5.7574
angles: 90.00 92.80 90.00
With the nearest neighbours (Å) after each atom.
Sites, in units of the cell vectors:
Rb 0.0000 0.0000 0.0000  2 O 2.84
Rb 0.0000 0.5000 0.5000  2 O 2.84
Np 0.5000 0.0000 0.5000  4 O 1.86-1.99
Np 0.5000 0.5000 0.0000  4 O 1.86-1.99
O 0.2222 0.0871 0.5086  1 Np 1.86
O 0.2222 0.4129 0.0086  1 Np 1.86
O 0.4247 0.6966 0.7299  1 Np 1.99
O 0.4247 0.8034 0.2299  1 Np 1.99
O 0.5753 0.1966 0.7701  1 Np 1.99
O 0.5753 0.3034 0.2701  1 Np 1.99
O 0.7778 0.5871 0.9914  1 Np 1.86
O 0.7778 0.9129 0.4914  1 Np 1.86

**M_tot**: 0.000 μB per cell
**Space group**: P2_1/c, No. 14
**Calculated total energy**: -0.297 Ha/atom
**E_form (uncorrected)**: -2.47 eV per atom
**Crystal system**: monoclinic



No. 2
An optimized crystal structure of Rb3Np2O8, computed with GGA-PBE.

abc: 8.1086 8.1086 8.1086
angles: 51.11 51.11 51.11
With the nearest neighbours (Å) after each atom.
Sites, in units of the cell vectors:
Rb 0.0000 0.0000 0.0000  6 O 2.98
Rb 0.1972 0.1972 0.1972  4 O 2.77-2.96
Rb 0.8028 0.8028 0.8028  4 O 2.77-2.96
Np 0.4197 0.4197 0.4197  4 O 1.92-1.94
Np 0.5803 0.5803 0.5803  4 O 1.92-1.94
O 0.2509 0.7254 0.7254  1 Np 1.94
O 0.2746 0.2746 0.7491  1 Np 1.94
O 0.2746 0.7491 0.2746  1 Np 1.94
O 0.3285 0.3285 0.3285  1 Np 1.92
O 0.6715 0.6715 0.6715  1 Np 1.92
O 0.7254 0.2509 0.7254  1 Np 1.94
O 0.7254 0.7254 0.2509  1 Np 1.94
O 0.7491 0.2746 0.2746  1 Np 1.94

**M_tot**: 1.013 μB per cell
**Space group**: R-3m, No. 166
**Calculated total energy**: -0.268 Ha/atom
**E_form (uncorrected)**: -2.02 eV per atom
**Crystal system**: trigonal



No. 3
An optimized crystal structure of Rb3Np2O7, computed with GGA-PBE.

abc: 11.8449 11.8449 11.8449
angles: 158.91 158.91 30.01
With the nearest neighbours (Å) after each atom.
Sites, in units of the cell vectors:
Rb 0.0000 0.0000 0.0000  12 O 3.05-3.07
Rb 0.1905 0.1905 0.0000  9 O 2.97-3.10
Rb 0.8095 0.8095 0.0000  9 O 2.97-3.10
Np 0.4059 0.4059 0.0000  6 O 1.96-2.17
Np 0.5941 0.5941 0.0000  6 O 1.96-2.17
O 0.0937 0.5937 0.5000  2 Np 2.17
O 0.3203 0.3203 0.0000  1 Np 1.96
O 0.4063 0.9063 0.5000  2 Np 2.17
O 0.5000 0.5000 0.0000  2 Np 2.15
O 0.5937 0.0937 0.5000  2 Np 2.17
O 0.6797 0.6797 0.0000  1 Np 1.96
O 0.9063 0.4063 0.5000  2 Np 2.17

**M_tot**: 3.000 μB per cell
**Space group**: I4/mmm, No. 139
**Calculated total energy**: -0.287 Ha/atom
**E_form (uncorrected)**: -2.53 eV per atom
**Crystal system**: tetragonal



No. 4
An optimized crystal structure of Rb4NpO4, computed with GGA-PBE.

abc: 7.8100 7.8100 7.8100
angles: 126.98 126.98 78.28
With the nearest neighbours (Å) after each atom.
Sites, in units of the cell vectors:
Rb 0.0000 0.5000 0.5000  4 O 2.86
Rb 0.2064 0.2064 0.0000  2 O 2.87
Rb 0.5000 0.0000 0.5000  4 O 2.86
Rb 0.7936 0.7936 0.0000  2 O 2.87
Np 0.5000 0.5000 0.0000  4 O 2.08
O 0.2278 0.5689 0.0000  1 Np 2.08
O 0.4311 0.4311 0.6589  1 Np 2.08
O 0.5689 0.2278 0.0000  1 Np 2.08
O 0.7722 0.7722 0.3411  1 Np 2.08

**M_tot**: 2.985 μB per cell
**Space group**: I-42m, No. 121
**Calculated total energy**: -0.211 Ha/atom
**E_form (uncorrected)**: -1.68 eV per atom
**Crystal system**: tetragonal



No. 5
An optimized crystal structure of Rb5NpO5, computed with GGA-PBE.

abc: 7.7242 7.7242 9.8132
angles: 104.54 104.54 33.56
With the nearest neighbours (Å) after each atom.
Sites, in units of the cell vectors:
Rb 0.0000 0.0000 0.0000  2 O 2.85
Rb 0.3483 0.3483 0.6331  6 O 2.88-3.06
Rb 0.3627 0.3627 0.2408  5 O 2.81-3.02
Rb 0.6373 0.6373 0.7592  5 O 2.81-3.02
Rb 0.6517 0.6517 0.3669  6 O 2.88-3.06
Np 0.0000 0.0000 0.5000  6 O 2.03-2.23
O 0.0049 0.0049 0.2924  1 Np 2.06
O 0.1421 0.1421 0.5642  1 Np 2.03
O 0.5000 0.5000 0.5000  2 Np 2.23
O 0.8579 0.8579 0.4358  1 Np 2.03
O 0.9951 0.9951 0.7076  1 Np 2.06

**M_tot**: 1.136 μB per cell
**Space group**: C2/m, No. 12
**Calculated total energy**: -0.212 Ha/atom
**E_form (uncorrected)**: -1.89 eV per atom
**Crystal system**: monoclinic



No. 6
An optimized crystal structure of Rb5NpO5, computed with GGA-PBE.

abc: 6.7587 6.7587 8.8230
angles: 95.16 95.16 48.76
With the nearest neighbours (Å) after each atom.
Sites, in units of the cell vectors:
Rb 0.0000 0.0000 0.0000  2 O 2.89
Rb 0.3126 0.3193 0.6575  5 O 2.83-2.95
Rb 0.3477 0.3553 0.2525  4 O 2.76-3.02
Rb 0.6447 0.6523 0.7475  4 O 2.76-3.02
Rb 0.6807 0.6874 0.3425  5 O 2.83-2.95
Np 0.0176 0.9824 0.5000  5 O 2.02-2.12
O 0.0840 0.0874 0.7071  1 Np 2.02
O 0.1400 0.1433 0.4031  1 Np 2.02
O 0.3978 0.6022 0.5000  1 Np 2.12
O 0.8567 0.8600 0.5969  1 Np 2.02
O 0.9126 0.9160 0.2929  1 Np 2.02

**M_tot**: 1.056 μB per cell
**Space group**: C2, No. 5
**Calculated total energy**: -0.210 Ha/atom
**E_form (uncorrected)**: -1.83 eV per atom
**Crystal system**: monoclinic



No. 7
An optimized crystal structure of Rb3Np2O7, computed with GGA-PBE.

abc: 12.2000 12.2000 4.3192
angles: 90.00 90.00 159.50
With the nearest neighbours (Å) after each atom.
Sites, in units of the cell vectors:
Rb 0.0000 0.0000 0.0000  12 O 3.05-3.06
Rb 0.1807 0.8193 0.0000  8 O 3.07-3.08
Rb 0.8193 0.1807 0.0000  8 O 3.07-3.08
Np 0.4103 0.5897 0.5000  6 O 1.95-2.17
Np 0.5897 0.4103 0.5000  6 O 1.95-2.17
O 0.0896 0.9104 0.5000  2 Np 2.17
O 0.3291 0.6709 0.5000  1 Np 1.95
O 0.4104 0.5896 0.0000  2 Np 2.16
O 0.5000 0.5000 0.5000  2 Np 2.15
O 0.5896 0.4104 0.0000  2 Np 2.16
O 0.6709 0.3291 0.5000  1 Np 1.95
O 0.9104 0.0896 0.5000  2 Np 2.17

**M_tot**: 3.000 μB per cell
**Space group**: Cmmm, No. 65
**Calculated total energy**: -0.287 Ha/atom
**E_form (uncorrected)**: -2.51 eV per atom
**Crystal system**: orthorhombic



No. 8
An optimized crystal structure of Rb3NpO9, computed with GGA-PBE.

abc: 8.0082 8.0082 7.9981
angles: 93.79 93.79 90.97
With the nearest neighbours (Å) after each atom.
Sites, in units of the cell vectors:
Rb 0.0263 0.9737 0.7500  6 O 2.95-3.03
Rb 0.2087 0.4350 0.5626  6 O 2.79-3.04
Rb 0.4350 0.2087 0.0626  6 O 2.79-3.04
Rb 0.5650 0.7913 0.9374  6 O 2.79-3.04
Rb 0.7913 0.5650 0.4374  6 O 2.79-3.04
Rb 0.9737 0.0263 0.2500  6 O 2.95-3.03
Np 0.0000 0.5000 0.0000  4 O 1.88-1.89
Np 0.5000 0.0000 0.5000  4 O 1.88-1.89
O 0.0197 0.3869 0.1989  1 Np 1.88
O 0.1150 0.7561 0.4450  1 O 1.36
O 0.1606 0.3586 0.9044  1 Np 1.89
O 0.2327 0.7195 0.0834  1 O 1.36
O 0.2439 0.8850 0.0550  1 O 1.36
O 0.2805 0.7673 0.4166  1 O 1.36
O 0.3351 0.6649 0.2500  2 O 1.61
O 0.3586 0.1606 0.4044  1 Np 1.89
O 0.3869 0.0197 0.6989  1 Np 1.88
O 0.6131 0.9803 0.3011  1 Np 1.88
O 0.6414 0.8394 0.5956  1 Np 1.89
O 0.6649 0.3351 0.7500  2 O 1.61
O 0.7195 0.2327 0.5834  1 O 1.36
O 0.7561 0.1150 0.9450  1 O 1.36
O 0.7673 0.2805 0.9166  1 O 1.36
O 0.8394 0.6414 0.0956  1 Np 1.89
O 0.8850 0.2439 0.5550  1 O 1.36
O 0.9803 0.6131 0.8011  1 Np 1.88

**M_tot**: 0.013 μB per cell
**Space group**: C2/c, No. 15
**Calculated total energy**: -0.223 Ha/atom
**E_form (uncorrected)**: -1.42 eV per atom
**Crystal system**: monoclinic



No. 9
An optimized crystal structure of RbNp4O12, computed with GGA-PBE.

abc: 7.2476 7.2476 7.2476
angles: 109.47 109.47 109.47
With the nearest neighbours (Å) after each atom.
Sites, in units of the cell vectors:
Rb 0.0000 0.0000 0.0000  12 O 2.93
Np 0.0000 0.0000 0.5000  6 O 2.09
Np 0.0000 0.5000 0.0000  6 O 2.09
Np 0.5000 0.0000 0.0000  6 O 2.09
Np 0.5000 0.5000 0.5000  6 O 2.09
O 0.0006 0.7529 0.2476  2 Np 2.09
O 0.2471 0.2476 0.4947  2 Np 2.09
O 0.2471 0.7524 0.9994  2 Np 2.09
O 0.2476 0.0006 0.7529  2 Np 2.09
O 0.2476 0.4947 0.2471  2 Np 2.09
O 0.4947 0.2471 0.2476  2 Np 2.09
O 0.5053 0.7529 0.7524  2 Np 2.09
O 0.7524 0.5053 0.7529  2 Np 2.09
O 0.7524 0.9994 0.2471  2 Np 2.09
O 0.7529 0.2476 0.0006  2 Np 2.09
O 0.7529 0.7524 0.5053  2 Np 2.09
O 0.9994 0.2471 0.7524  2 Np 2.09

**M_tot**: 5.000 μB per cell
**Space group**: Im-3, No. 204
**Calculated total energy**: -0.342 Ha/atom
**E_form (uncorrected)**: -2.71 eV per atom
**Crystal system**: cubic



No. 10
An optimized crystal structure of Rb2NpO5, computed with GGA-PBE.

abc: 7.9940 6.2029 12.4201
angles: 90.00 90.00 90.00
With the nearest neighbours (Å) after each atom.
Sites, in units of the cell vectors:
Rb 0.0089 0.2500 0.2319  10 O 2.96-3.27
Rb 0.1538 0.7500 0.4178  10 O 3.00-3.33
Rb 0.3462 0.2500 0.9178  10 O 3.00-3.33
Rb 0.4911 0.7500 0.7319  10 O 2.96-3.27
Rb 0.5089 0.2500 0.2681  10 O 2.96-3.27
Rb 0.6538 0.7500 0.0822  10 O 3.00-3.33
Rb 0.8462 0.2500 0.5822  10 O 3.00-3.33
Rb 0.9911 0.7500 0.7681  10 O 2.96-3.27
Np 0.1604 0.7500 0.0606  4 O 1.89-1.97
Np 0.3396 0.2500 0.5606  4 O 1.89-1.97
Np 0.6604 0.7500 0.4394  4 O 1.89-1.97
Np 0.8396 0.2500 0.9394  4 O 1.89-1.97
O 0.0000 0.0000 0.0000  2 Np 2.15
O 0.0000 0.5000 0.0000  2 Np 2.15
O 0.0321 0.7500 0.1888  1 Np 1.89
O 0.1905 0.0219 0.6158  1 Np 1.97
O 0.1905 0.4781 0.6158  1 Np 1.97
O 0.2260 0.2500 0.4248  1 Np 1.92
O 0.2740 0.7500 0.9248  1 Np 1.92
O 0.3095 0.5219 0.1158  1 Np 1.97
O 0.3095 0.9781 0.1158  1 Np 1.97
O 0.4679 0.2500 0.6888  1 Np 1.89
O 0.5000 0.0000 0.5000  2 Np 2.15
O 0.5000 0.5000 0.5000  2 Np 2.15
O 0.5321 0.7500 0.3112  1 Np 1.89
O 0.6905 0.0219 0.8842  1 Np 1.97
O 0.6905 0.4781 0.8842  1 Np 1.97
O 0.7260 0.2500 0.0752  1 Np 1.92
O 0.7740 0.7500 0.5752  1 Np 1.92
O 0.8095 0.5219 0.3842  1 Np 1.97
O 0.8095 0.9781 0.3842  1 Np 1.97
O 0.9679 0.2500 0.8112  1 Np 1.89

**M_tot**: 4.309 μB per cell
**Space group**: Pnma, No. 62
**Calculated total energy**: -0.259 Ha/atom
**E_form (uncorrected)**: -2.09 eV per atom
**Crystal system**: orthorhombic



No. 11
An optimized crystal structure of RbNpReO6, computed with GGA-PBE.

abc: 7.5893 7.5893 7.5893
angles: 121.76 118.13 90.12
With the nearest neighbours (Å) after each atom.
Sites, in units of the cell vectors:
Rb 0.3627 0.1127 0.2500  12 O 3.33-3.71
Rb 0.6373 0.8873 0.7500  12 O 3.33-3.71
Np 0.0000 0.5000 0.5000  6 O 2.11-2.12
Np 0.5000 0.5000 0.0000  6 O 2.11-2.12
Re 0.0000 0.0000 0.5000  6 O 1.90-1.94
Re 0.0000 0.5000 0.0000  6 O 1.90-1.94
O 0.0406 0.7906 0.2500  2 Re 1.90
O 0.0513 0.4193 0.2198  1 Re 1.94, 1 Np 2.11
O 0.0513 0.8315 0.6320  1 Re 1.94, 1 Np 2.11
O 0.3005 0.1685 0.7198  1 Re 1.94, 1 Np 2.11
O 0.3005 0.5807 0.1320  1 Re 1.94, 1 Np 2.11
O 0.3267 0.5767 0.7500  2 Np 2.12
O 0.6733 0.4233 0.2500  2 Np 2.12
O 0.6995 0.4193 0.8680  1 Re 1.94, 1 Np 2.11
O 0.6995 0.8315 0.2802  1 Re 1.94, 1 Np 2.11
O 0.9487 0.1685 0.3680  1 Re 1.94, 1 Np 2.11
O 0.9487 0.5807 0.7802  1 Re 1.94, 1 Np 2.11
O 0.9594 0.2094 0.7500  2 Re 1.90

**M_tot**: 4.242 μB per cell
**Space group**: Imma, No. 74
**Calculated total energy**: -0.310 Ha/atom
**E_form (uncorrected)**: -2.20 eV per atom
**Crystal system**: orthorhombic



No. 12
An optimized crystal structure of RbNpRe2O8, computed with GGA-PBE.

abc: 6.0604 6.0604 7.9974
angles: 90.00 90.00 120.00
With the nearest neighbours (Å) after each atom.
Sites, in units of the cell vectors:
Rb 0.0000 0.0000 0.0000  12 O 3.17-3.51
Np 0.0000 0.0000 0.5000  6 O 2.26
Re 0.3333 0.6667 0.7528  4 O 1.76-1.83
Re 0.6667 0.3333 0.2472  4 O 1.76-1.83
O 0.1650 0.3399 0.6726  1 Re 1.83
O 0.1748 0.8350 0.6726  1 Re 1.83
O 0.3333 0.6667 0.9733  1 Re 1.76
O 0.3399 0.1748 0.3274  1 Re 1.83
O 0.6601 0.8252 0.6726  1 Re 1.83
O 0.6667 0.3333 0.0267  1 Re 1.76
O 0.8252 0.1650 0.3274  1 Re 1.83
O 0.8350 0.6601 0.3274  1 Re 1.83

**M_tot**: 6.048 μB per cell
**Space group**: P-3, No. 147
**Calculated total energy**: -0.309 Ha/atom
**E_form (uncorrected)**: -1.87 eV per atom
**Crystal system**: trigonal